Rb2CuMoBr6 | PBE | optimized geometry

Summary:
The final energy is -0.2668 Ry per atom. Its formation energy without anion corrections is -9.403 eV/f.u. The excess energy over the best structure of this formula in the dataset is 0 meV/atom. Its symmetry is No. 166.

The structure in CIF format:
```
data_Rb2CuMoBr6
_chemical_formula_sum 'Rb4 Cu2 Mo2 Br12'
_cell_length_a 7.584
_cell_length_b 7.584
_cell_length_c 13.312
_cell_angle_alpha 73.45
_cell_angle_beta 73.45
_cell_angle_gamma 60.00
_symmetry_space_group_name_H-M 'P 1'
_symmetry_Int_Tables_number 1
_symmetry_space_group_name_Hall 'P 1'
loop_
_atom_site_label
_atom_site_fract_x
_atom_site_fract_y
_atom_site_fract_z
Rb1 0.880 0.880 0.360
Rb2 0.120 0.120 0.640
Rb3 0.702 0.702 0.894
Rb4 0.298 0.298 0.106
Cu1 0.579 0.579 0.262
Cu2 0.421 0.421 0.738
Mo1 0.000 0.000 0.000
Mo2 0.500 0.500 0.500
Br1 0.865 0.378 0.378
Br2 0.378 0.865 0.378
Br3 0.378 0.378 0.378
Br4 0.135 0.622 0.622
Br5 0.622 0.135 0.622
Br6 0.622 0.622 0.622
Br7 0.714 0.204 0.878
Br8 0.204 0.714 0.878
Br9 0.204 0.204 0.878
Br10 0.286 0.796 0.122
Br11 0.796 0.286 0.122
Br12 0.796 0.796 0.122
```